Record 1
TbThBr2: optimized geometry, GGA-PBE.

The raw total energy is -4.745 eV/atom. The calculated density is 7.93 Mg/m³. For the formation energy (no corrections), the calculation gives -3.58 eV per formula unit. Its total moment is 0.0 μB per formula unit.

The structure belongs to space group R-3m (No. 166, hexagonal axes); the cell edges are 3.5815, 3.5815 and 31.1273 Å and the angles 90.00°, 90.00° and 120.00°. The asymmetric unit holds Tb at (0.0000, 0.0000, 0.0000), Th at (0.0000, 0.0000, 0.5000) and Br at (0.0000, 0.0000, 0.4010).

Record 2
MnCdHg2: optimized geometry, GGA-PBE.

The raw total energy is -2.423 eV/atom. The calculated density is 10.96 Mg/m³. Its energy relative to the elements is 249.5 meV per atom. Its total moment is 3.9 μB per formula unit.

The structure belongs to space group R3m (No. 160, hexagonal axes); the cell edges are 3.1518, 3.1518 and 30.0486 Å and the angles 90.00°, 90.00° and 120.00°. The asymmetric unit holds Mn at (0.0000, 0.0000, 0.0000), Cd at (0.0000, 0.0000, 0.7409), Hg at (0.0000, 0.0000, 0.2591) and Hg at (0.0000, 0.0000, 0.4988).

Record 3
FeSiSb2Os: optimized geometry, GGA-PBE.

The raw total energy is -5.665 eV/atom. The calculated density is 6.94 Mg/m³. For the formation energy (no corrections), the calculation gives 5.04 eV per formula unit. Its total moment is 2.7 μB per formula unit.

The structure belongs to space group P4/mmm (No. 123); the cell edges are 5.256, 5.256 and 4.481 Å and the angles 90.00°, 90.00° and 90.00°. The asymmetric unit holds Fe at (0.000, 0.000, 0.000), Si at (0.500, 0.500, 0.000), Sb at (0.000, 0.500, 0.500) and Os at (0.500, 0.500, 0.500).